Crystalline KNa2Cd at its relaxed geometry, computed with GGA-PBE.

Cell: 6.734 6.951 8.891 Å, 66.99 77.03 54.97°
Fractional positions:
K (0.250, 0.159, 0.681)
K (0.750, 0.841, 0.319)
Na (0.585, 0.397, 0.836)
Na (0.915, 0.767, 0.836)
Na (0.415, 0.603, 0.164)
Na (0.085, 0.233, 0.164)
Cd (0.250, 0.749, 0.502)
Cd (0.750, 0.251, 0.498)

Magnetic moment ... 0.0 μB/f.u.
VASP energy ... -1.192 eV/atom